Below is an optimized crystal structure of SrYMg2Te, with properties calculated at the PBE-GGA level.

Cell: 5.554 6.049 5.554 Å, 90.00 90.00 90.00°
Fractional coordinates of all 5 atoms:
Y1 0.500 0.500 0.500
Sr1 0.000 0.500 0.000
Mg1 0.000 0.000 0.500
Mg2 0.500 0.000 0.000
Te1 0.000 0.000 0.000

E_form (uncorrected) = 0.84 eV per formula unit
SG = No. 123